Crystalline CsPmCo2O6 at its relaxed geometry, computed with GGA+U.

As for the total energy: -6.008 eV/atom. As for the crystal system: monoclinic.

Lattice parameters (Å, degrees): 7.281 7.281 7.544 101.68 101.68 98.52
Element x y z (fractional)
Cs 0.120 0.880 0.750
Cs 0.880 0.120 0.250
Pm 0.431 0.569 0.250
Pm 0.569 0.431 0.750
Co 0.128 0.406 0.768
Co 0.406 0.128 0.268
Co 0.594 0.872 0.732
Co 0.872 0.594 0.232
O 0.103 0.579 0.256
O 0.225 0.261 0.627
O 0.261 0.225 0.127
O 0.330 0.549 0.917
O 0.421 0.897 0.244
O 0.451 0.670 0.583
O 0.549 0.330 0.417
O 0.579 0.103 0.756
O 0.670 0.451 0.083
O 0.739 0.775 0.873
O 0.775 0.739 0.373
O 0.897 0.421 0.744

---

Crystalline Cs2PmCo2O6 at its relaxed geometry, computed with GGA+U.

The calculation puts the density of states at the Fermi level at 0.33 states/eV/f.u. As for the total energy: -5.797 eV/atom. As for the crystal system: trigonal.

Lattice parameters (Å, degrees): 7.038 7.038 7.038 53.35 53.35 53.35
Element x y z (fractional)
Cs 0.223 0.223 0.223
Cs 0.777 0.777 0.777
Pm 0.000 0.000 0.000
Co 0.427 0.427 0.427
Co 0.573 0.573 0.573
O 0.252 0.252 0.726
O 0.252 0.726 0.252
O 0.274 0.748 0.748
O 0.726 0.252 0.252
O 0.748 0.274 0.748
O 0.748 0.748 0.274

---

Crystalline Cs2PmCoO4 at its relaxed geometry, computed with GGA+U.

As for the total energy: -5.526 eV/atom. As for the crystal system: orthorhombic.

Lattice parameters (Å, degrees): 13.660 12.367 7.113 84.47 64.31 31.22
Element x y z (fractional)
Cs 0.061 0.061 0.689
Cs 0.311 0.311 0.939
Cs 0.689 0.689 0.061
Cs 0.939 0.939 0.311
Pm 0.125 0.125 0.125
Pm 0.875 0.875 0.875
Co 0.375 0.375 0.375
Co 0.625 0.625 0.625
O 0.037 0.640 0.537
O 0.286 0.537 0.640
O 0.360 0.963 0.714
O 0.463 0.714 0.963
O 0.537 0.286 0.037
O 0.640 0.037 0.286
O 0.714 0.463 0.360
O 0.963 0.360 0.463